Record 1
Computed, not measured: a geometry-optimized PmSm3Cd6 structure at the PBE level of DFT.

POSCAR file:
```
PmSm3Cd6
1.0
5.230 0.000 0.000
0.000 8.989 -2.700
0.000 0.216 11.232
Pm Sm Cd
2 6 12
Direct
0.250 0.943 0.610 Pm
0.750 0.057 0.390 Pm
0.250 0.524 0.392 Sm
0.750 0.476 0.608 Sm
0.250 0.350 0.790 Sm
0.750 0.650 0.210 Sm
0.250 0.764 0.002 Sm
0.750 0.236 0.998 Sm
0.250 0.450 0.092 Cd
0.750 0.550 0.908 Cd
0.250 0.145 0.193 Cd
0.750 0.855 0.807 Cd
0.250 0.660 0.709 Cd
0.750 0.340 0.291 Cd
0.250 0.240 0.495 Cd
0.750 0.760 0.505 Cd
0.250 0.852 0.305 Cd
0.750 0.148 0.695 Cd
0.250 0.052 0.901 Cd
0.750 0.948 0.099 Cd
```

Record 2
Computed, not measured: a geometry-optimized Pm2Sm3Cd3 structure at the PBE level of DFT.

POSCAR file:
```
Pm2Sm3Cd3
1.0
4.978 0.000 0.000
0.000 4.976 0.000
0.000 0.000 9.376
Pm Sm Cd
2 3 3
Direct
0.000 0.000 0.735 Pm
0.000 0.000 0.265 Pm
0.500 0.500 0.733 Sm
0.500 0.500 0.267 Sm
0.500 0.000 0.000 Sm
0.500 0.000 0.500 Cd
0.000 0.500 0.000 Cd
0.000 0.500 0.500 Cd
```

Record 3
Computed, not measured: a geometry-optimized PmSm2Cd2 structure at the PBE level of DFT.

POSCAR file:
```
PmSm2Cd2
1.0
-2.032 -2.357 2.031
4.897 -4.962 -4.259
7.082 0.455 7.613
Pm Sm Cd
2 4 4
Direct
0.568 0.136 0.995 Pm
0.432 0.864 0.495 Pm
0.882 0.764 0.151 Sm
0.292 0.584 0.885 Sm
0.118 0.236 0.651 Sm
0.708 0.416 0.385 Sm
0.208 0.415 0.145 Cd
0.949 0.899 0.809 Cd
0.792 0.585 0.645 Cd
0.051 0.101 0.309 Cd
```

Record 4
Computed, not measured: a geometry-optimized Pm8Sm2Cd structure at the PBE level of DFT.

POSCAR file:
```
Pm8Sm2Cd
1.0
-4.066 2.946 -1.000
-1.321 -6.112 0.472
-3.828 -1.171 12.111
Pm Sm Cd
8 2 1
Direct
0.590 0.179 0.360 Pm
0.755 0.509 0.088 Pm
0.860 0.721 0.452 Pm
0.963 0.927 0.824 Pm
0.140 0.279 0.548 Pm
0.245 0.491 0.912 Pm
0.410 0.821 0.640 Pm
0.037 0.073 0.176 Pm
0.685 0.371 0.738 Sm
0.315 0.629 0.262 Sm
0.500 0.000 0.000 Cd
```

Record 5
Computed, not measured: a geometry-optimized Pm8SmCd6 structure at the PBE level of DFT.

POSCAR file:
```
Pm8SmCd6
1.0
-3.074 8.585 -0.906
-3.044 2.943 -8.127
-8.051 1.852 -1.480
Pm Sm Cd
8 1 6
Direct
0.548 0.216 0.353 Pm
0.784 0.117 0.647 Pm
0.117 0.452 0.647 Pm
0.666 0.666 0.001 Pm
0.334 0.334 0.999 Pm
0.883 0.548 0.353 Pm
0.216 0.883 0.353 Pm
0.452 0.784 0.647 Pm
0.000 0.000 0.000 Sm
0.382 0.050 0.851 Cd
0.950 0.282 0.149 Cd
0.282 0.618 0.149 Cd
0.718 0.382 0.851 Cd
0.050 0.718 0.851 Cd
0.618 0.950 0.149 Cd
```

Record 6
Computed, not measured: a geometry-optimized Pm2Sm8Cd structure at the PBE level of DFT.

POSCAR file:
```
Pm2Sm8Cd
1.0
-2.185 -5.042 -1.143
6.787 -2.349 -2.613
-0.176 0.967 9.852
Pm Sm Cd
2 8 1
Direct
0.192 0.692 0.385 Pm
0.808 0.308 0.615 Pm
0.635 0.865 0.271 Sm
0.365 0.594 0.729 Sm
0.179 0.179 0.359 Sm
0.000 0.256 0.000 Sm
0.821 0.821 0.641 Sm
0.635 0.406 0.271 Sm
0.365 0.135 0.729 Sm
0.000 0.744 0.000 Sm
0.500 0.000 0.000 Cd
```

no.,energy of formation from the pure elements (meV per atom),Fermi-level density of states (states/eV/atom),total magnetization (μB per formula unit)
1,-295,0.856,0.25
2,-179,1.353,0.01
3,-102,1.296,0.00
4,-18,1.402,0.00
5,-89,1.356,1.33
6,53,1.785,0.00